Entry 1:
! BeSb2Mo | Alexandria | GGA-PBE | relaxed; values from VASP
! Space-group type: Cm, No. 8
! Calculated density (Mg/m³): 6.73
! DOS(E_F) (states/eV per atom): 0.693
! ΔE_f (raw) (eV/atom): 0.25
! Crystal system: monoclinic
&SYSTEM
  ibrav = 0, nat = 4, ntyp = 3
/
ATOMIC_SPECIES
Sb 121.76 Sb.upf
Mo 95.94 Mo.upf
Be 9.01 Be.upf
CELL_PARAMETERS angstrom
4.416 0.003 0.017
3.007 3.235 0.017
3.678 1.604 6.043
ATOMIC_POSITIONS angstrom
Sb 10.504 4.581 5.430
Sb 3.096 1.350 2.166
Mo 8.182 3.568 3.805
Be 5.971 2.604 3.793

***

Entry 2:
! BeSb2Mo | Alexandria | GGA-PBE | relaxed; values from VASP
! Space-group type: I-4m2, No. 119
! Calculated density (Mg/m³): 7.60
! DOS(E_F) (states/eV per atom): 0.856
! ΔE_f (raw) (eV/atom): 0.69
! Crystal system: tetragonal
&SYSTEM
  ibrav = 0, nat = 4, ntyp = 3
/
ATOMIC_SPECIES
Sb 121.76 Sb.upf
Mo 95.94 Mo.upf
Be 9.01 Be.upf
CELL_PARAMETERS angstrom
-2.395 -1.126 -4.849
2.988 -2.589 -3.858
-1.162 -0.644 5.362
ATOMIC_POSITIONS angstrom
Sb 0.000 0.000 0.000
Sb 1.061 -2.545 -1.425
Mo -1.630 -1.814 -1.920
Be 0.296 -1.858 -4.354

***

Entry 3:
! Be2SbMo | Alexandria | GGA-PBE | relaxed; values from VASP
! Space-group type: P4/mmm, No. 123
! Calculated density (Mg/m³): 6.83
! DOS(E_F) (states/eV per atom): 0.539
! ΔE_f (raw) (eV/atom): 0.23
! Crystal system: tetragonal
&SYSTEM
  ibrav = 0, nat = 4, ntyp = 3
/
ATOMIC_SPECIES
Sb 121.76 Sb.upf
Mo 95.94 Mo.upf
Be 9.01 Be.upf
CELL_PARAMETERS angstrom
-2.920 -0.381 -1.487
-1.218 -1.369 2.742
-1.493 4.755 1.711
ATOMIC_POSITIONS angstrom
Sb -3.188 2.691 1.911
Mo -2.442 0.313 1.055
Be -0.075 0.239 0.086
Be -0.671 2.138 0.770

***

Which of these has the highest DOS(E_F)? number 2